Material: PmPPd6
Method: DFT, PBE
State: optimized geometry

```
data_PmPPd6
_chemical_formula_sum 'Pm1 P1 Pd6'
_cell_length_a 6.4329
_cell_length_b 6.4329
_cell_length_c 6.4329
_cell_angle_alpha 52.39
_cell_angle_beta 52.39
_cell_angle_gamma 52.39
_space_group_name_H-M_alt 'P 1'
_space_group_IT_number 1
loop_
_space_group_symop_operation_xyz
'x,y,z'
loop_
_atom_site_label
_atom_site_fract_x
_atom_site_fract_y
_atom_site_fract_z
_atom_site_occupancy
Pm1 0.0000 0.0000 0.0000 1
P1 0.5000 0.5000 0.5000 1
Pd1 0.0654 0.5885 0.5885 1
Pd2 0.4115 0.4115 0.9346 1
Pd3 0.4115 0.9346 0.4115 1
Pd4 0.5885 0.0654 0.5885 1
Pd5 0.5885 0.5885 0.0654 1
Pd6 0.9346 0.4115 0.4115 1
```

Computed properties:
symmetry	R-3m
calculated volume	19.33	A^3/atom
ΔE_f	-44.6	kJ per mole of atoms
spin magnetization	0.000	μB per atom